No. 1
# PBE-GGA InTc2Ir, optimized geometry
# Volume, Å³/cell: 63.8
# Size of the total moment, μB per atom: 0.000
# Energy of formation from the pure elements, eV/atom: 0.061
# DOS(E_F), states/eV/f.u.: 3.17
data_InTc2Ir
_chemical_formula_sum 'In1 Tc2 Ir1'
_symmetry_space_group_name_H-M 'P 4 m m'
_symmetry_Int_Tables_number 99
_symmetry_space_group_name_Hall 'P 4 -2'
_cell_length_a 2.8782
_cell_length_b 2.8782
_cell_length_c 7.7013
_cell_angle_alpha 90.00
_cell_angle_beta 90.00
_cell_angle_gamma 90.00
loop_
_atom_site_label
_atom_site_type_symbol
_atom_site_fract_x
_atom_site_fract_y
_atom_site_fract_z
In1 In 0.0000 0.0000 0.0000
Tc1 Tc 0.0000 0.0000 0.5026
Tc2 Tc 0.5000 0.5000 0.7242
Ir1 Ir 0.5000 0.5000 0.2676


No. 2
# PBE-GGA InTc2Ir, optimized geometry
# Volume, Å³/cell: 127.9
# Size of the total moment, μB per atom: 0.000
# Energy of formation from the pure elements, eV/atom: 0.159
# DOS(E_F), states/eV/f.u.: 3.66
data_InTc2Ir
_chemical_formula_sum 'In2 Tc4 Ir2'
_symmetry_space_group_name_H-M 'C 1 m 1'
_symmetry_Int_Tables_number 8
_symmetry_space_group_name_Hall 'C -2y'
_cell_length_a 9.2117
_cell_length_b 2.8297
_cell_length_c 4.9804
_cell_angle_alpha 90.00
_cell_angle_beta 99.86
_cell_angle_gamma 90.00
loop_
_atom_site_label
_atom_site_type_symbol
_atom_site_fract_x
_atom_site_fract_y
_atom_site_fract_z
In1 In 0.0000 0.0000 0.0000
Tc1 Tc 0.0125 0.5000 0.4921
Tc2 Tc 0.2614 0.5000 0.3096
Ir1 Ir 0.2448 0.0000 0.7673


No. 3
# PBE-GGA InTcIr3, optimized geometry
# Volume, Å³/cell: 105.9
# Size of the total moment, μB per atom: 0.000
# Energy of formation from the pure elements, eV/atom: 1.420
# DOS(E_F), states/eV/f.u.: 5.49
data_InTcIr3
_chemical_formula_sum 'In1 Tc1 Ir3'
_symmetry_space_group_name_H-M 'P m -3 m'
_symmetry_Int_Tables_number 221
_symmetry_space_group_name_Hall '-P 4 2 3'
_cell_length_a 4.7310
_cell_length_b 4.7310
_cell_length_c 4.7310
_cell_angle_alpha 90.00
_cell_angle_beta 90.00
_cell_angle_gamma 90.00
loop_
_atom_site_label
_atom_site_type_symbol
_atom_site_fract_x
_atom_site_fract_y
_atom_site_fract_z
In1 In 0.0000 0.0000 0.0000
Tc1 Tc 0.5000 0.5000 0.5000
Ir1 Ir 0.0000 0.5000 0.5000


No. 4
# PBE-GGA InTc2Ir, optimized geometry
# Volume, Å³/cell: 63.8
# Size of the total moment, μB per atom: 0.000
# Energy of formation from the pure elements, eV/atom: 0.161
# DOS(E_F), states/eV/f.u.: 4.32
data_InTc2Ir
_chemical_formula_sum 'In1 Tc2 Ir1'
_symmetry_space_group_name_H-M 'P m m 2'
_symmetry_Int_Tables_number 25
_symmetry_space_group_name_Hall 'P 2 -2'
_cell_length_a 2.8562
_cell_length_b 4.4956
_cell_length_c 4.9720
_cell_angle_alpha 90.00
_cell_angle_beta 90.00
_cell_angle_gamma 90.00
loop_
_atom_site_label
_atom_site_type_symbol
_atom_site_fract_x
_atom_site_fract_y
_atom_site_fract_z
In1 In 0.0000 0.0000 0.0000
Tc1 Tc 0.5000 0.0000 0.4911
Tc2 Tc 0.5000 0.5000 0.2301
Ir1 Ir 0.0000 0.5000 0.6890


No. 5
# PBE-GGA InTc2Ir, optimized geometry
# Volume, Å³/cell: 191.2
# Size of the total moment, μB per atom: 0.000
# Energy of formation from the pure elements, eV/atom: 0.144
# DOS(E_F), states/eV/f.u.: 2.77
data_InTc2Ir
_chemical_formula_sum 'In3 Tc6 Ir3'
_symmetry_space_group_name_H-M 'R 3 m'
_symmetry_Int_Tables_number 160
_symmetry_space_group_name_Hall 'R 3 -2"'
_cell_length_a 2.8608
_cell_length_b 2.8608
_cell_length_c 26.9753
_cell_angle_alpha 90.00
_cell_angle_beta 90.00
_cell_angle_gamma 120.00
loop_
_atom_site_label
_atom_site_type_symbol
_atom_site_fract_x
_atom_site_fract_y
_atom_site_fract_z
In1 In 0.0000 0.0000 0.0000
Tc1 Tc 0.0000 0.0000 0.2442
Tc2 Tc 0.0000 0.0000 0.5005
Ir1 Ir 0.0000 0.0000 0.7540


No. 6
# PBE-GGA Ti5In2TcIr2, optimized geometry
# Volume, Å³/cell: 356.9
# Size of the total moment, μB per atom: 0.000
# Energy of formation from the pure elements, eV/atom: -0.396
# DOS(E_F), states/eV/f.u.: 7.85
data_Ti5In2TcIr2
_chemical_formula_sum 'Ti10 In4 Tc2 Ir4'
_symmetry_space_group_name_H-M 'P 4/m b m'
_symmetry_Int_Tables_number 127
_symmetry_space_group_name_Hall '-P 4 2ab'
_cell_length_a 10.7315
_cell_length_b 10.7315
_cell_length_c 3.0994
_cell_angle_alpha 90.00
_cell_angle_beta 90.00
_cell_angle_gamma 90.00
loop_
_atom_site_label
_atom_site_type_symbol
_atom_site_fract_x
_atom_site_fract_y
_atom_site_fract_z
Ti1 Ti 0.0000 0.5000 0.0000
Ti2 Ti 0.0641 0.1877 0.0000
In1 In 0.1730 0.6730 0.5000
Tc1 Tc 0.0000 0.0000 0.5000
Ir1 Ir 0.1336 0.3664 0.5000


No. 7
# PBE-GGA UInTcIr, optimized geometry
# Volume, Å³/cell: 297.6
# Size of the total moment, μB per atom: 0.326
# Energy of formation from the pure elements, eV/atom: -0.147
# DOS(E_F), states/eV/f.u.: 4.86
data_UInTcIr
_chemical_formula_sum 'U4 In4 Tc4 Ir4'
_symmetry_space_group_name_H-M 'F -4 3 m'
_symmetry_Int_Tables_number 216
_symmetry_space_group_name_Hall 'F -4 2 3'
_cell_length_a 6.6762
_cell_length_b 6.6762
_cell_length_c 6.6762
_cell_angle_alpha 90.00
_cell_angle_beta 90.00
_cell_angle_gamma 90.00
loop_
_atom_site_label
_atom_site_type_symbol
_atom_site_fract_x
_atom_site_fract_y
_atom_site_fract_z
U1 U 0.0000 0.0000 0.0000
In1 In 0.0000 0.0000 0.5000
Tc1 Tc 0.2500 0.2500 0.2500
Ir1 Ir 0.2500 0.2500 0.7500


No. 8
# PBE-GGA ZrInTcIr, optimized geometry
# Volume, Å³/cell: 280.1
# Size of the total moment, μB per atom: 0.000
# Energy of formation from the pure elements, eV/atom: -0.316
# DOS(E_F), states/eV/f.u.: 5.74
data_ZrInTcIr
_chemical_formula_sum 'Zr4 In4 Tc4 Ir4'
_symmetry_space_group_name_H-M 'F -4 3 m'
_symmetry_Int_Tables_number 216
_symmetry_space_group_name_Hall 'F -4 2 3'
_cell_length_a 6.5430
_cell_length_b 6.5430
_cell_length_c 6.5430
_cell_angle_alpha 90.00
_cell_angle_beta 90.00
_cell_angle_gamma 90.00
loop_
_atom_site_label
_atom_site_type_symbol
_atom_site_fract_x
_atom_site_fract_y
_atom_site_fract_z
Zr1 Zr 0.0000 0.0000 0.0000
In1 In 0.0000 0.0000 0.5000
Tc1 Tc 0.2500 0.2500 0.2500
Ir1 Ir 0.2500 0.2500 0.7500


No. 9
# PBE-GGA InTeIr3, optimized geometry
# Volume, Å³/cell: 115.4
# Size of the total moment, μB per atom: 0.000
# Formation energy from raw total energies, eV/atom: 1.427
# DOS(E_F), states/eV/f.u.: 7.02
data_InTeIr3
_chemical_formula_sum 'In1 Te1 Ir3'
_symmetry_space_group_name_H-M 'P m -3 m'
_symmetry_Int_Tables_number 221
_symmetry_space_group_name_Hall '-P 4 2 3'
_cell_length_a 4.8690
_cell_length_b 4.8690
_cell_length_c 4.8690
_cell_angle_alpha 90.00
_cell_angle_beta 90.00
_cell_angle_gamma 90.00
loop_
_atom_site_label
_atom_site_type_symbol
_atom_site_fract_x
_atom_site_fract_y
_atom_site_fract_z
In1 In 0.0000 0.0000 0.0000
Te1 Te 0.5000 0.5000 0.5000
Ir1 Ir 0.0000 0.5000 0.5000


No. 10
# PBE-GGA InTeIr2, optimized geometry
# Volume, Å³/cell: 145.2
# Size of the total moment, μB per atom: 0.000
# Formation energy from raw total energies, eV/atom: 0.274
# DOS(E_F), states/eV/f.u.: 1.73
data_InTeIr2
_chemical_formula_sum 'In2 Te2 Ir4'
_symmetry_space_group_name_H-M 'C m m m'
_symmetry_Int_Tables_number 65
_symmetry_space_group_name_Hall '-C 2 2'
_cell_length_a 6.2166
_cell_length_b 7.4491
_cell_length_c 3.1348
_cell_angle_alpha 90.00
_cell_angle_beta 90.00
_cell_angle_gamma 90.00
loop_
_atom_site_label
_atom_site_type_symbol
_atom_site_fract_x
_atom_site_fract_y
_atom_site_fract_z
In1 In 0.0000 0.0000 0.0000
Te1 Te 0.0000 0.5000 0.0000
Ir1 Ir 0.2500 0.2500 0.5000


No. 11
# PBE-GGA InTeIr2, optimized geometry
# Volume, Å³/cell: 72.6
# Size of the total moment, μB per atom: 0.000
# Formation energy from raw total energies, eV/atom: 0.273
# DOS(E_F), states/eV/f.u.: 2.10
data_InTeIr2
_chemical_formula_sum 'In1 Te1 Ir2'
_symmetry_space_group_name_H-M 'P 4/m m m'
_symmetry_Int_Tables_number 123
_symmetry_space_group_name_Hall '-P 4 2'
_cell_length_a 3.1360
_cell_length_b 3.1360
_cell_length_c 7.3819
_cell_angle_alpha 90.00
_cell_angle_beta 90.00
_cell_angle_gamma 90.00
loop_
_atom_site_label
_atom_site_type_symbol
_atom_site_fract_x
_atom_site_fract_y
_atom_site_fract_z
In1 In 0.0000 0.0000 0.0000
Te1 Te 0.0000 0.0000 0.5000
Ir1 Ir 0.5000 0.5000 0.2485


No. 12
# PBE-GGA InTe2Ir, optimized geometry
# Volume, Å³/cell: 200.8
# Size of the total moment, μB per atom: 0.000
# Formation energy from raw total energies, eV/atom: 0.242
# DOS(E_F), states/eV/f.u.: 2.64
data_InTe2Ir
_chemical_formula_sum 'In2 Te4 Ir2'
_symmetry_space_group_name_H-M 'C m m m'
_symmetry_Int_Tables_number 65
_symmetry_space_group_name_Hall '-C 2 2'
_cell_length_a 4.4235
_cell_length_b 4.9956
_cell_length_c 9.0865
_cell_angle_alpha 90.00
_cell_angle_beta 90.00
_cell_angle_gamma 90.00
loop_
_atom_site_label
_atom_site_type_symbol
_atom_site_fract_x
_atom_site_fract_y
_atom_site_fract_z
In1 In 0.0000 0.0000 0.0000
Te1 Te 0.0000 0.5000 0.3147
Ir1 Ir 0.0000 0.0000 0.5000


No. 13
# PBE-GGA InTe2Ir, optimized geometry
# Volume, Å³/cell: 107.5
# Size of the total moment, μB per atom: 0.000
# Formation energy from raw total energies, eV/atom: -0.167
# DOS(E_F), states/eV/f.u.: 1.46
data_InTe2Ir
_chemical_formula_sum 'In1 Te2 Ir1'
_symmetry_space_group_name_H-M 'P 1 2/m 1'
_symmetry_Int_Tables_number 10
_symmetry_space_group_name_Hall '-P 2y'
_cell_length_a 5.3957
_cell_length_b 4.0180
_cell_length_c 5.5296
_cell_angle_alpha 90.00
_cell_angle_beta 116.23
_cell_angle_gamma 90.00
loop_
_atom_site_label
_atom_site_type_symbol
_atom_site_fract_x
_atom_site_fract_y
_atom_site_fract_z
In1 In 0.0000 0.0000 0.0000
Te1 Te 0.3577 0.5000 0.6729
Ir1 Ir 0.0000 0.0000 0.5000


No. 14
# PBE-GGA InTe2Ir, optimized geometry
# Volume, Å³/cell: 196.7
# Size of the total moment, μB per atom: 0.000
# Formation energy from raw total energies, eV/atom: 0.289
# DOS(E_F), states/eV/f.u.: 2.01
data_InTe2Ir
_chemical_formula_sum 'In2 Te4 Ir2'
_symmetry_space_group_name_H-M 'I 4/m m m'
_symmetry_Int_Tables_number 139
_symmetry_space_group_name_Hall '-I 4 2'
_cell_length_a 5.7492
_cell_length_b 5.7492
_cell_length_c 5.9516
_cell_angle_alpha 90.00
_cell_angle_beta 90.00
_cell_angle_gamma 90.00
loop_
_atom_site_label
_atom_site_type_symbol
_atom_site_fract_x
_atom_site_fract_y
_atom_site_fract_z
In1 In 0.0000 0.0000 0.0000
Te1 Te 0.0000 0.5000 0.0000
Ir1 Ir 0.0000 0.0000 0.5000